Record 1
Material: La2DyIr
Method: DFT, GGA-PBE
State: optimized geometry

a = 6.4579 Å, b = 7.3617 Å, c = 10.0908 Å
α = 90.00°, β = 90.00°, γ = 90.00°
Closest atoms and distances in Å follow each position.
Fractional positions:
La: 0.6743 0.8245 0.9329  2 Ir 2.94-2.97
La: 0.8257 0.3245 0.9329  2 Ir 2.94-2.97
La: 0.1743 0.6755 0.4329  2 Ir 2.94-2.97
La: 0.3257 0.1755 0.0671  2 Ir 2.94-2.97
La: 0.1743 0.6755 0.0671  2 Ir 2.94-2.97
La: 0.3257 0.1755 0.4329  2 Ir 2.94-2.97
La: 0.6743 0.8245 0.5671  2 Ir 2.94-2.97
La: 0.8257 0.3245 0.5671  2 Ir 2.94-2.97
Ir: 0.9453 0.6236 0.7500  2 Dy 2.83-2.84, 4 La 2.94-2.97
Ir: 0.0547 0.3764 0.2500  2 Dy 2.83-2.84, 4 La 2.94-2.97
Ir: 0.4453 0.8764 0.2500  2 Dy 2.83-2.84, 4 La 2.94-2.97
Ir: 0.5547 0.1236 0.7500  2 Dy 2.83-2.84, 4 La 2.94-2.97
Dy: 0.6574 0.5391 0.2500  2 Ir 2.83-2.84
Dy: 0.3426 0.4609 0.7500  2 Ir 2.83-2.84
Dy: 0.8426 0.0391 0.2500  2 Ir 2.83-2.84
Dy: 0.1574 0.9609 0.7500  2 Ir 2.83-2.84

Computed properties:
Its space-group type is No. 62. As for the magnetic moment: 0.00 μB per formula unit. As for the formation enthalpy at 0 K: -0.50 eV per atom. For the calculated volume, the calculation gives 29.98 Å³ per atom.

Record 2
Material: LaDyIr
Method: DFT, GGA-PBE
State: optimized geometry

a = 4.9249 Å, b = 4.9221 Å, c = 6.9129 Å
α = 90.16°, β = 90.07°, γ = 90.00°
Closest atoms and distances in Å follow each position.
Fractional positions:
Dy: 0.0021 0.4987 0.2500  4 Ir 3.00-3.02
Dy: 0.9979 0.5013 0.7500  4 Ir 3.00-3.02
Ir: 0.5000 0.5000 0.5000  4 Dy 3.00-3.02, 4 La 3.00-3.01
Ir: 0.0000 0.0000 0.0000  4 Dy 3.00-3.02, 4 La 3.00-3.02
La: 0.4973 0.0017 0.7500  4 Ir 3.00-3.02
La: 0.5027 0.9983 0.2500  4 Ir 3.00-3.02

Computed properties:
Its space-group type is No. 2. As for the magnetic moment: 0.00 μB per formula unit. As for the formation enthalpy at 0 K: -0.62 eV per atom. For the calculated volume, the calculation gives 27.93 Å³ per atom.

Record 3
Material: La2Dy3Ir2
Method: DFT, GGA-PBE
State: optimized geometry

a = 3.8592 Å, b = 6.4912 Å, c = 8.6851 Å
α = 72.69°, β = 77.16°, γ = 72.71°
Closest atoms and distances in Å follow each position.
Fractional positions:
Ir: 0.8247 0.1071 0.2434  5 Dy 2.83-3.02, 2 La 2.90
Ir: 0.1753 0.8929 0.7566  5 Dy 2.83-3.02, 2 La 2.90
Dy: 0.5000 0.0000 0.0000  4 Ir 3.02
Dy: 0.3793 0.8154 0.4259  3 Ir 2.83-2.96
Dy: 0.6207 0.1846 0.5741  3 Ir 2.83-2.96
La: 0.8316 0.5325 0.8043  2 Ir 2.90
La: 0.1684 0.4675 0.1957  2 Ir 2.90

Computed properties:
Its space-group type is No. 12. As for the magnetic moment: 0.00 μB per formula unit. As for the formation enthalpy at 0 K: -0.60 eV per atom. For the calculated volume, the calculation gives 28.03 Å³ per atom.

Record 4
Material: La3DyIr
Method: DFT, GGA-PBE
State: optimized geometry

a = 5.6744 Å, b = 5.6744 Å, c = 5.6744 Å
α = 90.00°, β = 90.00°, γ = 90.00°
Closest atoms and distances in Å follow each position.
Fractional positions:
La: 0.5000 0.0000 0.0000  2 Ir 2.84
La: 0.0000 0.0000 0.5000  2 Ir 2.84
La: 0.0000 0.5000 0.0000  2 Ir 2.84
Ir: 0.0000 0.0000 0.0000  6 La 2.84
Dy: 0.5000 0.5000 0.5000  12 La 4.01

Computed properties:
Its space-group type is No. 221. As for the magnetic moment: 0.00 μB per formula unit. As for the formation enthalpy at 0 K: -0.20 eV per atom. For the calculated volume, the calculation gives 36.54 Å³ per atom.

Record 5
Material: LaDyIr4
Method: DFT, GGA-PBE
State: optimized geometry

a = 5.4186 Å, b = 5.4186 Å, c = 5.4186 Å
α = 60.00°, β = 60.00°, γ = 60.00°
Closest atoms and distances in Å follow each position.
Fractional positions:
La: 0.0000 0.0000 0.0000  12 Ir 3.18, 4 Dy 3.32
Ir: 0.1258 0.6247 0.6247  6 Ir 2.70-2.72
Ir: 0.6247 0.6247 0.6247  6 Ir 2.70-2.72
Ir: 0.6247 0.1258 0.6247  6 Ir 2.70-2.72
Ir: 0.6247 0.6247 0.1258  6 Ir 2.70-2.72
Dy: 0.2500 0.2500 0.2500  12 Ir 3.18, 4 La 3.32

Computed properties:
Its space-group type is No. 216. As for the magnetic moment: 0.00 μB per formula unit. As for the formation enthalpy at 0 K: -0.74 eV per atom. For the calculated volume, the calculation gives 18.75 Å³ per atom.

Record 6
Material: LiLaDyIr
Method: DFT, GGA-PBE
State: optimized geometry

a = 5.0498 Å, b = 5.0498 Å, c = 5.0498 Å
α = 60.00°, β = 60.00°, γ = 60.00°
Closest atoms and distances in Å follow each position.
Fractional positions:
La: 0.7500 0.7500 0.7500  4 Ir 3.09, 4 Li 3.09
Li: 0.0000 0.0000 0.0000  4 La 3.09, 4 Dy 3.09
Dy: 0.2500 0.2500 0.2500  4 Li 3.09, 4 Ir 3.09
Ir: 0.5000 0.5000 0.5000  4 La 3.09, 4 Dy 3.09

Computed properties:
Its space-group type is No. 216. As for the magnetic moment: 0.00 μB per formula unit. As for the formation enthalpy at 0 K: -0.45 eV per atom. For the calculated volume, the calculation gives 22.76 Å³ per atom.

Record 7
Material: LaDyMgIr
Method: DFT, GGA-PBE
State: optimized geometry

a = 5.1546 Å, b = 5.1546 Å, c = 5.1546 Å
α = 60.00°, β = 60.00°, γ = 60.00°
Closest atoms and distances in Å follow each position.
Fractional positions:
La: 0.5000 0.5000 0.5000  4 Ir 3.16, 4 Mg 3.16
Mg: 0.2500 0.2500 0.2500  4 La 3.16, 4 Dy 3.16
Dy: 0.0000 0.0000 0.0000  4 Mg 3.16, 4 Ir 3.16
Ir: 0.7500 0.7500 0.7500  4 La 3.16, 4 Dy 3.16

Computed properties:
Its space-group type is No. 216. As for the magnetic moment: 0.00 μB per formula unit. As for the formation enthalpy at 0 K: -0.36 eV per atom. For the calculated volume, the calculation gives 24.21 Å³ per atom.

Record 8
Material: LaDy2IrN4
Method: DFT, GGA-PBE
State: optimized geometry

a = 3.4442 Å, b = 6.1938 Å, c = 11.6327 Å
α = 90.00°, β = 90.00°, γ = 106.14°
Closest atoms and distances in Å follow each position.
Fractional positions:
La: 0.1116 0.2233 0.7500  6 N 2.61-2.66
La: 0.8884 0.7767 0.2500  6 N 2.61-2.66
Dy: 0.6302 0.2604 0.4563  6 N 2.30-2.57
Dy: 0.3698 0.7396 0.5437  6 N 2.30-2.57
Dy: 0.6302 0.2604 0.0437  6 N 2.30-2.57
Dy: 0.3698 0.7396 0.9563  6 N 2.30-2.57
N: 0.2695 0.5391 0.3742  1 Ir 2.04
N: 0.4466 0.8933 0.7500  2 Ir 2.06
N: 0.7305 0.4609 0.8742  1 Ir 2.04
N: 0.0000 0.0000 0.5000  4 Dy 2.37
N: 0.0000 0.0000 0.0000  4 Dy 2.37
N: 0.2695 0.5391 0.1258  1 Ir 2.04
N: 0.5534 0.1067 0.2500  2 Ir 2.06
N: 0.7305 0.4609 0.6258  1 Ir 2.04
Ir: 0.1486 0.2971 0.2500  4 N 2.04-2.06
Ir: 0.8514 0.7029 0.7500  4 N 2.04-2.06

Computed properties:
Its space-group type is No. 63. As for the magnetic moment: 0.00 μB per formula unit. As for the raw formation energy: -964 meV per atom. For the calculated volume, the calculation gives 14.90 Å³ per atom.

Record 9
Material: LaDyIrO6
Method: DFT, GGA-PBE
State: optimized geometry

a = 5.1228 Å, b = 5.5291 Å, c = 5.5291 Å
α = 120.00°, β = 90.00°, γ = 90.00°
Closest atoms and distances in Å follow each position.
Fractional positions:
O: 0.2820 0.9973 0.7066  1 Ir 1.96
O: 0.7180 0.2934 0.0027  1 Ir 1.96
O: 0.2820 0.7093 0.0027  1 Ir 1.96
O: 0.7180 0.9973 0.2907  1 Ir 1.96
O: 0.7180 0.7093 0.7066  1 Ir 1.96
O: 0.2820 0.2934 0.2907  1 Ir 1.96
Dy: 0.5000 0.6667 0.3333  6 O 2.25
Ir: 0.5000 0.0000 0.0000  6 O 1.96
La: 0.0000 0.3333 0.6667  6 O 2.45

Computed properties:
Its space-group type is No. 149. As for the magnetic moment: 2.97 μB per formula unit. As for the raw formation energy: -2211 meV per atom. For the calculated volume, the calculation gives 15.07 Å³ per atom.

Record 10
Material: La2DyP3Ir12
Method: DFT, GGA-PBE
State: optimized geometry

a = 6.8257 Å, b = 6.8257 Å, c = 6.8257 Å
α = 84.44°, β = 84.44°, γ = 84.44°
Closest atoms and distances in Å follow each position.
Fractional positions:
Ir: 0.1769 0.1769 0.6667  1 P 2.24
Ir: 0.6292 0.6292 0.1014  2 P 2.65, 1 Ir 2.68
Ir: 0.8231 0.3333 0.8231  1 P 2.24
Ir: 0.3708 0.8986 0.3708  2 P 2.65, 1 Ir 2.68
Ir: 0.8986 0.3708 0.3708  2 P 2.65, 1 Ir 2.68
Ir: 0.1769 0.6667 0.1769  1 P 2.24
Ir: 0.6292 0.1014 0.6292  2 P 2.65, 1 Ir 2.68
Ir: 0.8231 0.8231 0.3333  1 P 2.24
Ir: 0.6667 0.1769 0.1769  1 P 2.24
Ir: 0.3333 0.8231 0.8231  1 P 2.24
Ir: 0.1014 0.6292 0.6292  2 P 2.65, 1 Ir 2.68
Ir: 0.3708 0.3708 0.8986  2 P 2.65, 1 Ir 2.68
P: 0.5000 0.0000 0.0000  2 Ir 2.24
P: 0.0000 0.5000 0.0000  2 Ir 2.24
P: 0.0000 0.0000 0.5000  2 Ir 2.24
La: 0.3739 0.3739 0.3739  3 Ir 2.63
La: 0.6261 0.6261 0.6261  3 Ir 2.63
Dy: 0.0000 0.0000 0.0000  6 Ir 2.70

Computed properties:
Its space-group type is No. 166. As for the magnetic moment: 0.00 μB per formula unit. As for the formation enthalpy at 0 K: -0.07 eV per atom. For the calculated volume, the calculation gives 17.43 Å³ per atom.

Record 11
Material: LaDyIrPt
Method: DFT, GGA-PBE
State: optimized geometry

a = 5.0158 Å, b = 5.0158 Å, c = 5.0158 Å
α = 60.00°, β = 60.00°, γ = 60.00°
Closest atoms and distances in Å follow each position.
Fractional positions:
Pt: 0.7500 0.7500 0.7500  4 La 3.07, 4 Dy 3.07
Dy: 0.0000 0.0000 0.0000  4 Pt 3.07, 4 Ir 3.07
Ir: 0.2500 0.2500 0.2500  4 La 3.07, 4 Dy 3.07
La: 0.5000 0.5000 0.5000  4 Ir 3.07, 4 Pt 3.07

Computed properties:
Its space-group type is No. 216. As for the magnetic moment: 0.00 μB per formula unit. As for the formation enthalpy at 0 K: -0.91 eV per atom. For the calculated volume, the calculation gives 22.31 Å³ per atom.

Record 12
Material: LaDyIrRh
Method: DFT, GGA-PBE
State: optimized geometry

a = 4.9680 Å, b = 4.9680 Å, c = 4.9680 Å
α = 60.00°, β = 60.00°, γ = 60.00°
Closest atoms and distances in Å follow each position.
Fractional positions:
Rh: 0.5000 0.5000 0.5000  4 La 3.04, 4 Dy 3.04
La: 0.2500 0.2500 0.2500  4 Ir 3.04, 4 Rh 3.04
Dy: 0.7500 0.7500 0.7500  4 Rh 3.04, 4 Ir 3.04
Ir: 0.0000 0.0000 0.0000  4 La 3.04, 4 Dy 3.04

Computed properties:
Its space-group type is No. 216. As for the magnetic moment: 0.00 μB per formula unit. As for the formation enthalpy at 0 K: -0.72 eV per atom. For the calculated volume, the calculation gives 21.68 Å³ per atom.

> Which of these has the lowest calculated volume?

LaDy2IrN4

> What is the formula in the sixth record?

LiLaDyIr

> magnetic moment of number 3 (La2Dy3Ir2)?

0.00 μB per formula unit